{
  "formula": "AsHRh2",
  "functional": "meta-GGA SCAN",
  "state": "single point on PBEsol structure",
  "vol_a3_per_atom": 12.63,
  "e_tot_ry_per_atom": -1.6897,
  "lattice": [[-2.437, 2.437, 4.252], [2.437, -2.437, 4.252], [2.437, 2.437, -4.252]],
  "species": ["As", "As", "H", "H", "Rh", "Rh", "Rh", "Rh"],
  "fractional_positions": [[0.000, 0.000, 0.000], [0.750, 0.250, 0.500], [0.250, 0.750, 0.500], [0.500, 0.500, 0.000], [0.229, 0.125, 0.604], [0.375, 0.771, 0.896], [0.521, 0.625, 0.396], [0.875, 0.479, 0.104]]
}